[1]
Material: Nd2DySn3Pt3
Method: DFT, GGA-PBE
State: optimized geometry

## Properties
Final energy in eV per atom: -5.9885
Calculated volume in Å³ per atom: 22.8

Lattice parameters (Å, degrees): 4.1003 13.1401 7.6203 90.00 90.00 90.00
Last column: nearest neighbours and their distance in Å.
Space group Amm2 (No. 38)
One atom of each set of equivalent atoms:
Nd1 0.0000 0.2043 0.0000 [4 per cell]  5 Pt 3.11-3.13, 6 Sn 3.27-3.42
Dy1 0.0000 0.0000 0.6112 [2 per cell]  5 Pt 3.04-3.05, 6 Sn 3.30-3.39
Sn1 0.5000 0.0000 0.9498 [2 per cell]  4 Pt 2.84-2.85
Sn2 0.5000 0.1273 0.3335 [4 per cell]  4 Pt 2.81-2.94
Pt1 0.0000 0.0000 0.2103 [2 per cell]  6 Sn 2.81-2.85, 1 Dy 3.05, 2 Nd 3.13
Pt2 0.5000 0.1620 0.7026 [4 per cell]  3 Sn 2.84-2.94, 2 Dy 3.04, 4 Nd 3.11



[2]
Material: Nd3Dy3Te2Pt
Method: DFT, GGA-PBE
State: optimized geometry

## Properties
Polymorph energy (0 for the lowest one) in eV/atom: 0.000
Calculated volume in Å³ per atom: 28.4

Lattice parameters (Å, degrees): 8.5247 8.5247 4.0630 90.00 90.00 120.00
Last column: nearest neighbours and their distance in Å.
Space group P-62m (No. 189)
One atom of each set of equivalent atoms:
Nd1 0.0000 0.4065 0.0000 [3 per cell]  4 Te 3.29, 1 Pt 3.47, 6 Dy 3.63-3.64
Dy1 0.0000 0.7595 0.5000 [3 per cell]  2 Pt 2.89
Te1 0.3333 0.6667 0.5000 [2 per cell]  6 Nd 3.29, 3 Dy 3.31
Pt1 0.0000 0.0000 0.0000 [1 per cell]  6 Dy 2.89



[3]
Material: Nd3Dy3Te2Pt
Method: DFT, GGA-PBE
State: optimized geometry

## Properties
Polymorph energy (0 for the lowest one) in eV/atom: 0.112
Calculated volume in Å³ per atom: 28.4

Lattice parameters (Å, degrees): 8.6358 8.6358 3.9580 90.00 90.00 120.00
Last column: nearest neighbours and their distance in Å.
Space group P-62m (No. 189)
One atom of each set of equivalent atoms:
Nd1 0.0000 0.7498 0.0000 [3 per cell]  2 Pt 2.93
Dy1 0.0000 0.4056 0.5000 [3 per cell]  4 Te 3.29, 1 Pt 3.50, 6 Nd 3.57-3.64
Te1 0.3333 0.6667 0.0000 [2 per cell]  6 Dy 3.29, 3 Nd 3.30
Pt1 0.0000 0.0000 0.5000 [1 per cell]  6 Nd 2.93



[4]
Material: NdDyTl2Pt4
Method: DFT, GGA-PBE
State: optimized geometry

## Properties
Final energy in eV per atom: -5.5172
Calculated volume in Å³ per atom: 21.4

Lattice parameters (Å, degrees): 4.6664 4.6664 9.0933 90.00 90.00 120.00
Last column: nearest neighbours and their distance in Å.
Space group P-6m2 (No. 187)
One atom of each set of equivalent atoms:
Nd1 0.0000 0.0000 0.0000 [1 per cell]  8 Pt 3.06-3.16
Dy1 0.6667 0.3333 0.5000 [1 per cell]  8 Pt 3.03-3.10
Tl1 0.3333 0.6667 0.2535 [2 per cell]  6 Pt 2.83
Pt1 0.0000 0.0000 0.3481 [2 per cell]  1 Pt 2.76, 3 Tl 2.83, 3 Dy 3.03
Pt2 0.6667 0.3333 0.1586 [2 per cell]  3 Tl 2.83, 1 Pt 2.89, 3 Nd 3.06, 1 Dy 3.10



[5]
Material: NdDyPu
Method: DFT, GGA-PBE
State: optimized geometry

## Properties
E_form in eV per atom: 0.82
Calculated volume in Å³ per atom: 33.1

Lattice parameters (Å, degrees): 7.3505 7.3505 7.3505 90.00 90.00 90.00
Last column: nearest neighbours and their distance in Å.
Space group F-43m (No. 216)
One atom of each set of equivalent atoms:
Nd1 0.0000 0.0000 0.0000 [4 per cell]  4 Dy 3.18, 4 Pu 3.18
Dy1 0.2500 0.2500 0.2500 [4 per cell]  4 Nd 3.18
Pu1 0.2500 0.2500 0.7500 [4 per cell]  4 Nd 3.18



[6]
Material: NdDyRe
Method: DFT, GGA-PBE
State: optimized geometry

## Properties
Polymorph energy (0 for the lowest one) in eV/atom: 0.000
E_form in eV per atom: 1.13
Calculated volume in Å³ per atom: 26.4

Lattice parameters (Å, degrees): 6.8177 6.8177 6.8177 90.00 90.00 90.00
Last column: nearest neighbours and their distance in Å.
Space group F-43m (No. 216)
One atom of each set of equivalent atoms:
Nd1 0.0000 0.0000 0.0000 [4 per cell]  4 Dy 2.95
Dy1 0.2500 0.2500 0.2500 [4 per cell]  4 Re 2.95, 4 Nd 2.95
Re1 0.0000 0.0000 0.5000 [4 per cell]  4 Dy 2.95



[7]
Material: NdDyS2
Method: DFT, GGA-PBE
State: optimized geometry

## Properties
Polymorph energy (0 for the lowest one) in eV/atom: 0.028
Calculated volume in Å³ per atom: 22.4

Lattice parameters (Å, degrees): 3.9877 3.9877 5.6406 90.00 90.00 90.00
Last column: nearest neighbours and their distance in Å.
Space group P4/mmm (No. 123)
One atom of each set of equivalent atoms:
Nd1 0.0000 0.0000 0.0000 [1 per cell]  6 S 2.82
Dy1 0.5000 0.5000 0.5000 [1 per cell]  6 S 2.82
S1 0.0000 0.0000 0.5000 [1 per cell]  4 Dy 2.82, 2 Nd 2.82
S2 0.5000 0.5000 0.0000 [1 per cell]  4 Nd 2.82, 2 Dy 2.82



[8]
Material: NdDyS2
Method: DFT, GGA-PBE
State: optimized geometry

## Properties
Polymorph energy (0 for the lowest one) in eV/atom: 0.000
Calculated volume in Å³ per atom: 22.3

Lattice parameters (Å, degrees): 6.8544 3.9678 6.9608 90.00 109.26 90.00
Last column: nearest neighbours and their distance in Å.
Space group C2/m (No. 12)
One atom of each set of equivalent atoms:
Nd1 0.0000 0.0000 0.0000 [2 per cell]  6 S 2.88
Dy1 0.0000 0.5000 0.5000 [2 per cell]  6 S 2.76
S1 0.2448 0.0000 0.7341 [4 per cell]  3 Dy 2.76, 3 Nd 2.88



Please write out number 2 again, unchanged.
Material: Nd3Dy3Te2Pt
Method: DFT, GGA-PBE
State: optimized geometry

## Properties
Polymorph energy (0 for the lowest one) in eV/atom: 0.000
Calculated volume in Å³ per atom: 28.4

Lattice parameters (Å, degrees): 8.5247 8.5247 4.0630 90.00 90.00 120.00
Last column: nearest neighbours and their distance in Å.
Space group P-62m (No. 189)
One atom of each set of equivalent atoms:
Nd1 0.0000 0.4065 0.0000 [3 per cell]  4 Te 3.29, 1 Pt 3.47, 6 Dy 3.63-3.64
Dy1 0.0000 0.7595 0.5000 [3 per cell]  2 Pt 2.89
Te1 0.3333 0.6667 0.5000 [2 per cell]  6 Nd 3.29, 3 Dy 3.31
Pt1 0.0000 0.0000 0.0000 [1 per cell]  6 Dy 2.89



Q: Which formula does entry 1 have?
A: Nd2DySn3Pt3